ZnGa3 PBE optimized geometry; E_form = 40.0 meV/atom
1.0
-2.457 -0.563 -1.218
2.415 -1.153 -4.339
0.372 -4.858 1.498
Zn Ga
1 3
Cartesian
1.396 -0.666 -2.508 Zn
-1.040 -0.372 -0.947 Ga
0.380 -3.390 -2.416 Ga
0.399 -2.531 0.365 Ga

***

La2Pr6DyMg PBE optimized geometry; E_form = 101.6 meV/atom
1.0
9.142 -2.030 -2.107
0.762 8.657 -1.021
0.762 -1.341 8.613
La Pr Dy Mg
4 12 2 2
Cartesian
4.913 5.085 4.652 La
1.181 1.841 1.285 La
5.752 0.201 0.834 La
9.484 3.445 4.200 La
1.319 -0.457 6.135 Pr
4.775 0.154 6.769 Pr
9.346 5.743 -0.649 Pr
5.890 5.132 -1.283 Pr
3.343 -1.005 3.285 Pr
2.751 2.981 7.421 Pr
7.322 6.291 2.201 Pr
7.914 2.305 -1.936 Pr
1.706 5.034 2.821 Pr
4.388 3.668 1.404 Pr
8.959 0.252 2.665 Pr
6.277 1.618 4.081 Pr
3.047 7.468 -0.891 Dy
7.618 -2.182 6.377 Dy
3.047 2.156 4.227 Mg
7.618 3.130 1.258 Mg

***

YSc2Mn PBE optimized geometry; E_form = 86.5 meV/atom; excess energy over the best structure of this formula in the dataset = 0.00 eV per formula unit
1.0
3.270 0.000 0.000
0.000 3.204 0.405
0.000 2.136 8.899
Mn Sc Y
1 2 1
Cartesian
1.635 4.005 6.978 Mn
0.000 2.203 8.358 Sc
0.000 2.602 5.193 Sc
1.635 1.335 2.326 Y

***

Nd2MgGa3Rh4 PBE optimized geometry; E_form = -750.5 meV/atom
1.0
4.255 0.000 0.000
0.000 4.255 0.000
0.000 0.000 10.513
Nd Mg Ga Rh
2 1 3 4
Cartesian
2.128 0.000 2.489 Nd
0.000 2.128 8.025 Nd
2.128 2.128 5.257 Mg
0.000 0.000 5.257 Ga
2.128 0.000 9.225 Ga
0.000 2.128 1.288 Ga
2.128 2.128 0.000 Rh
0.000 0.000 0.000 Rh
2.128 0.000 6.737 Rh
0.000 2.128 3.776 Rh

***

RbNbIrO6 PBE optimized geometry; energy relative to the elements, uncorrected = -14.26 eV/f.u.
1.0
7.490 0.000 0.000
0.000 7.273 0.000
-3.745 -3.636 5.251
Rb Nb Ir O
2 2 2 12
Cartesian
3.745 1.818 3.954 Rb
0.000 1.818 1.297 Rb
1.872 -1.818 2.626 Nb
-1.872 -1.818 2.626 Nb
3.745 3.636 0.000 Ir
3.745 0.000 0.000 Ir
0.000 1.818 4.550 O
3.745 -1.818 3.312 O
5.117 -0.410 1.292 O
2.373 4.046 1.292 O
2.373 -0.410 1.292 O
5.117 4.046 1.292 O
3.745 1.818 0.702 O
0.000 5.455 1.940 O
-1.372 4.046 3.959 O
1.372 -0.410 3.959 O
1.372 4.046 3.959 O
-1.372 -0.410 3.959 O

***

Y2ZnCr PBE optimized geometry; E_form = 90.4 meV/atom; excess energy over the best structure of this formula in the dataset = 0.31 eV per formula unit
1.0
-5.698 1.285 -1.808
-5.956 -1.137 0.789
-2.255 3.278 2.834
Cr Y Zn
1 2 1
Cartesian
-3.122 0.974 0.599 Cr
-11.551 0.183 -0.976 Y
-10.628 2.504 1.281 Y
-7.214 1.627 0.801 Zn

***

Y2CrCdN PBE optimized geometry; energy relative to the elements, uncorrected = -3.15 eV/f.u.
1.0
-3.583 -1.056 -3.355
-1.314 -4.041 2.674
-2.476 2.114 1.979
Y Cr N Cd
2 1 1 1
Cartesian
-0.657 -2.021 1.337 Y
-1.791 -0.528 -1.678 Y
-1.238 1.057 0.989 Cr
0.000 0.000 0.000 N
-3.686 -1.491 0.649 Cd

***

TlTeAu2 PBE optimized geometry; energy relative to the elements, uncorrected = 0.74 eV/f.u.; excess energy over the best structure of this formula in the dataset = 0.81 eV per formula unit
1.0
-1.772 -1.596 -2.676
0.141 -2.149 2.865
-7.031 3.202 2.747
Au Te Tl
2 1 1
Cartesian
-0.012 0.005 0.005 Au
-3.504 1.596 1.369 Au
-2.573 -1.072 0.782 Te
-6.089 0.529 2.155 Tl

***

Please write out number 3 again, unchanged.
YSc2Mn PBE optimized geometry; E_form = 86.5 meV/atom; excess energy over the best structure of this formula in the dataset = 0.00 eV per formula unit
1.0
3.270 0.000 0.000
0.000 3.204 0.405
0.000 2.136 8.899
Mn Sc Y
1 2 1
Cartesian
1.635 4.005 6.978 Mn
0.000 2.203 8.358 Sc
0.000 2.602 5.193 Sc
1.635 1.335 2.326 Y